# NaZrInPt

Crystalline NaZrInPt at its relaxed geometry (PBE, Alexandria via LeMat-Bulk).

Cell lengths 4.743, 4.743, 4.743 Å; angles 60.00, 60.00, 60.00 degrees
Positions (direct):
Na: 0.000 0.000 0.000
Zr: 0.250 0.250 0.250
In: 0.750 0.750 0.750
Pt: 0.500 0.500 0.500

## Properties
VASP energy (eV per cell): -20.5
Space group: F-43m, No. 216
Energy relative to the elements (eV per atom): -0.4626

***

# NaVCd2

Crystalline NaVCd2 at its relaxed geometry (PBE, Alexandria via LeMat-Bulk).

Cell lengths 4.948, 4.948, 4.948 Å; angles 60.00, 60.00, 60.00 degrees
Positions (direct):
Na: 0.000 0.000 0.000
V: 0.500 0.500 0.500
Cd: 0.250 0.250 0.250
Cd: 0.750 0.750 0.750

## Properties
VASP energy (eV per cell): -10.8
Space group: Fm-3m, No. 225
Polymorph energy (0 for the lowest one) (meV per atom): 0
Energy relative to the elements (eV per atom): 0.3640

***

# SiPb3S

Crystalline SiPb3S at its relaxed geometry (PBE, Alexandria via LeMat-Bulk).

Cell lengths 5.481, 5.481, 5.481 Å; angles 90.00, 90.00, 90.00 degrees
Positions (direct):
Si: 0.000 0.000 0.000
Pb: 0.000 0.500 0.500
Pb: 0.500 0.000 0.500
Pb: 0.500 0.500 0.000
S: 0.500 0.500 0.500

## Properties
VASP energy (eV per cell): -18.2
Space group: Pm-3m, No. 221
Polymorph energy (0 for the lowest one) (meV per atom): 0

***

# LaSbBr3

Crystalline LaSbBr3 at its relaxed geometry (PBE, Alexandria via LeMat-Bulk).

Cell lengths 5.919, 5.919, 5.919 Å; angles 90.00, 90.00, 90.00 degrees
Positions (direct):
La: 0.000 0.000 0.000
Sb: 0.500 0.500 0.500
Br: 0.000 0.000 0.500
Br: 0.000 0.500 0.000
Br: 0.500 0.000 0.000

## Properties
VASP energy (eV per cell): -19.0
Space group: Pm-3m, No. 221
Polymorph energy (0 for the lowest one) (meV per atom): 0

***

# LaTaPt2

Crystalline LaTaPt2 at its relaxed geometry (PBE, Alexandria via LeMat-Bulk).

Cell lengths 5.386, 5.386, 5.386 Å; angles 134.21, 134.21, 66.76 degrees
Positions (direct):
La: 0.000 0.000 0.000
Ta: 0.750 0.250 0.500
Pt: 0.250 0.750 0.500
Pt: 0.500 0.500 0.000

## Properties
VASP energy (eV per cell): -30.0
Space group: I-4m2, No. 119
Polymorph energy (0 for the lowest one) (meV per atom): 479
Energy relative to the elements (eV per atom): -0.2959

***

# Cs2NaSr

Crystalline Cs2NaSr at its relaxed geometry (PBE, Alexandria via LeMat-Bulk).

Cell lengths 7.567, 7.567, 7.567 Å; angles 60.00, 60.00, 60.00 degrees
Positions (direct):
Cs: 0.250 0.250 0.250
Cs: 0.750 0.750 0.750
Na: 0.000 0.000 0.000
Sr: 0.500 0.500 0.500

## Properties
VASP energy (eV per cell): -4.0
Space group: Fm-3m, No. 225
Polymorph energy (0 for the lowest one) (meV per atom): 37
Energy relative to the elements (eV per atom): 0.1668

***

# Cs2HfHg

Crystalline Cs2HfHg at its relaxed geometry (PBE, Alexandria via LeMat-Bulk).

Cell lengths 6.479, 6.479, 6.479 Å; angles 60.00, 60.00, 60.00 degrees
Positions (direct):
Cs: 0.250 0.250 0.250
Cs: 0.750 0.750 0.750
Hf: 0.000 0.000 0.000
Hg: 0.500 0.500 0.500

## Properties
VASP energy (eV per cell): -7.7
Space group: Fm-3m, No. 225
Polymorph energy (0 for the lowest one) (meV per atom): 651
Energy relative to the elements (eV per atom): 1.0727

***

# TiCrNi2H

Crystalline TiCrNi2H at its relaxed geometry (PBE, Alexandria via LeMat-Bulk).

Cell lengths 3.650, 3.650, 3.869 Å; angles 90.00, 90.00, 90.00 degrees
Positions (direct):
Ti: 0.000 0.000 0.000
Cr: 0.500 0.500 0.000
Ni: 0.000 0.500 0.500
Ni: 0.500 0.000 0.500
H: 0.500 0.500 0.500

## Properties
VASP energy (eV per cell): -33.2
Space group: P4/mmm, No. 123
Polymorph energy (0 for the lowest one) (meV per atom): 0

***

# TmAgPtO4

Crystalline TmAgPtO4 at its relaxed geometry (PBE, Alexandria via LeMat-Bulk).

Cell lengths 6.519, 6.519, 6.519 Å; angles 120.86, 116.24, 92.57 degrees
Positions (direct):
Tm: 0.000 0.000 0.000
Tm: 0.500 0.000 0.500
Ag: 0.383 0.633 0.750
Ag: 0.617 0.367 0.250
Pt: 0.000 0.000 0.500
Pt: 0.000 0.500 0.000
O: 0.190 0.249 0.942
O: 0.193 0.751 0.442
O: 0.230 0.198 0.468
O: 0.230 0.762 0.032
O: 0.770 0.238 0.968
O: 0.770 0.802 0.532
O: 0.807 0.249 0.558
O: 0.810 0.751 0.058

## Properties
VASP energy (eV per cell): -87.1
Space group: Imma, No. 74

***

# HfSn3Te

Crystalline HfSn3Te at its relaxed geometry (PBE, Alexandria via LeMat-Bulk).

Cell lengths 5.602, 5.602, 5.602 Å; angles 90.00, 90.00, 90.00 degrees
Positions (direct):
Hf: 0.000 0.000 0.000
Sn: 0.000 0.500 0.500
Sn: 0.500 0.000 0.500
Sn: 0.500 0.500 0.000
Te: 0.500 0.500 0.500

## Properties
VASP energy (eV per cell): -19.5
Space group: Pm-3m, No. 221
Polymorph energy (0 for the lowest one) (meV per atom): 702